Entry 1:
Density functional theory data (PBE) for a relaxed structure of Pr3Pa.

```
Pr3Pa
1.0
1.494 5.249 -4.668
-2.769 1.595 6.431
5.445 0.439 2.236
Pr Pa
6 2
direct
0.659 0.830 0.250
0.170 0.341 0.250
0.170 0.830 0.250
0.341 0.170 0.750
0.830 0.170 0.750
0.830 0.659 0.750
0.667 0.333 0.250
0.333 0.667 0.750
```

Fermi-level density of states in states/eV/f.u.: 6.90
ΔH_f (0 K) in kJ per mole of atoms: 30



Entry 2:
Density functional theory data (PBE) for a relaxed structure of Pr3Pa.

```
Pr3Pa
1.0
-2.769 -5.123 -1.039
0.719 -1.048 3.249
-5.440 2.531 2.019
Pr Pa
3 1
direct
0.000 0.500 0.475
0.500 0.500 0.174
0.500 0.000 0.698
0.000 0.000 0.987
```

Fermi-level density of states in states/eV/f.u.: 8.21
ΔH_f (0 K) in kJ per mole of atoms: 26



Entry 3:
Density functional theory data (PBE) for a relaxed structure of Pr2PaPt3.

```
Pr2PaPt3
1.0
7.129 0.050 -1.324
-2.712 6.594 -1.324
-0.036 -0.054 13.143
Pt Pa Pr
12 4 8
direct
0.228 0.228 0.000
0.088 0.068 0.675
0.478 0.978 0.500
0.664 0.144 0.825
0.586 0.606 0.675
0.932 0.912 0.325
0.394 0.414 0.325
0.856 0.336 0.175
0.022 0.522 0.500
0.162 0.682 0.825
0.772 0.772 0.000
0.318 0.838 0.175
0.334 0.834 0.668
0.166 0.666 0.332
0.916 0.916 0.832
0.084 0.084 0.168
0.668 0.168 0.336
0.501 0.001 0.001
0.999 0.499 0.999
0.418 0.418 0.836
0.251 0.251 0.501
0.582 0.582 0.164
0.749 0.749 0.499
0.832 0.332 0.664
```

Fermi-level density of states in states/eV/f.u.: 3.86
ΔH_f (0 K) in kJ per mole of atoms: -97



Entry 4:
Density functional theory data (PBE) for a relaxed structure of PrPaPt.

```
PrPaPt
1.0
-3.440 2.488 1.167
-2.714 -3.812 0.127
2.294 1.369 3.844
Pa Pr Pt
1 1 1
direct
0.167 0.333 0.667
0.667 0.667 0.333
0.166 0.000 0.000
```

Fermi-level density of states in states/eV/f.u.: 4.78
ΔH_f (0 K) in kJ per mole of atoms: -30



Entry 5:
Density functional theory data (PBE) for a relaxed structure of PrPaPt4.

```
PrPaPt4
1.0
5.489 0.000 0.000
2.745 4.754 0.000
2.745 1.585 4.482
Pt Pa Pr
4 1 1
direct
0.625 0.126 0.625
0.625 0.625 0.625
0.126 0.625 0.625
0.625 0.625 0.126
0.250 0.250 0.250
0.000 0.000 0.000
```

Fermi-level density of states in states/eV/f.u.: 6.35
ΔH_f (0 K) in kJ per mole of atoms: -86



Entry 6:
Density functional theory data (PBE) for a relaxed structure of PrPaPt.

```
PrPaPt
1.0
4.358 0.000 0.000
0.000 4.358 0.000
0.000 0.000 8.099
Pt Pa Pr
2 2 2
direct
0.500 0.000 0.761
0.000 0.500 0.239
0.000 0.000 0.500
0.500 0.500 0.500
0.500 0.000 0.134
0.000 0.500 0.866
```

Fermi-level density of states in states/eV/f.u.: 4.98
ΔH_f (0 K) in kJ per mole of atoms: -56